1.
# Mo4SeCl

A geometry-optimized Mo4SeCl structure (PBE-GGA, Alexandria via LeMat-Bulk). Values from VASP.

```
&SYSTEM
  ibrav = 0, nat = 6, ntyp = 3
/
ATOMIC_SPECIES
Mo 95.94 Mo.upf
Cl 35.45 Cl.upf
Se 78.96 Se.upf
ATOMIC_POSITIONS crystal
Mo 0.3745 0.3745 0.8765
Mo 0.8765 0.3745 0.3745
Mo 0.3745 0.3745 0.3745
Mo 0.3745 0.8765 0.3745
Cl 0.0000 0.0000 0.0000
Se 0.7500 0.7500 0.7500
CELL_PARAMETERS angstrom
3.2252 -2.2945 3.5598
1.4188 2.6424 4.3981
-1.9052 -1.5018 4.7386
```

Properties
The uncorrected formation energy is 0.986 eV/atom. The calculation puts the density of states at the Fermi level at 6.66 states/eV/f.u. The value obtained for the calculated density is 7755 kg/m3. The space group is F-43m, No. 216.

2.
# MoSe2Cl

A geometry-optimized MoSe2Cl structure (PBE-GGA, Alexandria via LeMat-Bulk). Values from VASP.

```
&SYSTEM
  ibrav = 0, nat = 4, ntyp = 3
/
ATOMIC_SPECIES
Se 78.96 Se.upf
Cl 35.45 Cl.upf
Mo 95.94 Mo.upf
ATOMIC_POSITIONS crystal
Se 0.5000 0.5000 0.2439
Se 0.0000 0.0000 0.9091
Cl 0.0000 0.0000 0.5942
Mo 0.5000 0.5000 0.7527
CELL_PARAMETERS angstrom
-2.2710 1.0026 1.6515
-1.6309 -2.3612 -0.8092
3.4653 -5.0848 7.8524
```

Properties
The uncorrected formation energy is -0.081 eV/atom. The energy relative to the lowest polymorph listed for this composition comes out at 0.314 eV per atom. The calculation puts the density of states at the Fermi level at 2.84 states/eV/f.u. The value obtained for the calculated density is 5417 kg/m3. The space group is P4mm, No. 99.

3.
# MoSe4Cl

A geometry-optimized MoSe4Cl structure (PBE-GGA, Alexandria via LeMat-Bulk). Values from VASP.

```
&SYSTEM
  ibrav = 0, nat = 6, ntyp = 3
/
ATOMIC_SPECIES
Mo 95.94 Mo.upf
Se 78.96 Se.upf
Cl 35.45 Cl.upf
ATOMIC_POSITIONS crystal
Mo 0.0000 0.0000 0.0000
Se 0.8760 0.3747 0.3747
Se 0.3747 0.3747 0.8760
Se 0.3747 0.8760 0.3747
Se 0.3747 0.3747 0.3747
Cl 0.7500 0.7500 0.7500
CELL_PARAMETERS angstrom
0.0000 3.9985 3.9985
3.9985 0.0000 3.9985
3.9985 3.9985 0.0000
```

Properties
The uncorrected formation energy is 0.762 eV/atom. The calculation puts the density of states at the Fermi level at 3.97 states/eV/f.u. The value obtained for the calculated density is 5808 kg/m3. The space group is F-43m, No. 216.

4.
# Mo3SeCl7

A geometry-optimized Mo3SeCl7 structure (PBE-GGA, Alexandria via LeMat-Bulk). Values from VASP.

```
&SYSTEM
  ibrav = 0, nat = 11, ntyp = 3
/
ATOMIC_SPECIES
Cl 35.45 Cl.upf
Mo 95.94 Mo.upf
Se 78.96 Se.upf
ATOMIC_POSITIONS crystal
Cl 0.8546 0.9168 0.3741
Cl 0.3108 0.5877 0.7907
Cl 0.3287 0.9153 0.4273
Cl 0.3108 0.0869 0.7986
Cl 0.8601 0.4229 0.3807
Cl 0.8036 0.0869 0.7986
Cl 0.3363 0.4229 0.3807
Mo 0.0305 0.7253 0.6100
Mo 0.0407 0.3030 0.6156
Mo 0.6342 0.7253 0.6100
Se 0.7640 0.5896 0.8823
CELL_PARAMETERS angstrom
5.8692 0.0000 3.1197
2.9752 5.8827 1.4834
-0.3674 -0.0832 7.7720
```

Properties
The uncorrected formation energy is -0.865 eV/atom. The value obtained for the calculated density is 3713 kg/m3. The space group is Cm, No. 8.

Short version: volume = 17.779 22.172 21.310 25.003 A^3/atom, in the order given.
Short version: M_tot = 0.00 0.00 3.29 1.07 μB per cell, in the order given.